{"formula": "HoSi2Pd4", "functional": "PBE", "state": "relaxed", "e_form_raw_ev_per_atom": -0.800, "spacegroup": "Pnma (62)", "polymorph_energy_ev_per_atom": 0.0339, "volume_a3_per_atom": 16.5, "lattice_angstrom": [[-0.7239, -3.0588, -2.7200], [-0.5790, -4.2545, 4.9384], [-16.6140, 3.2071, 0.8150]], "species": ["Si", "Si", "Si", "Si", "Si", "Si", "Si", "Si", "Pd", "Pd", "Pd", "Pd", "Pd", "Pd", "Pd", "Pd", "Pd", "Pd", "Pd", "Pd", "Pd", "Pd", "Pd", "Pd", "Ho", "Ho", "Ho", "Ho"], "frac_coords": [[0.7500, 0.0489, 0.2167], [0.7500, 0.2587, 0.4586], [0.2500, 0.7413, 0.5414], [0.2500, 0.7587, 0.0414], [0.2500, 0.9511, 0.7833], [0.2500, 0.5489, 0.2833], [0.7500, 0.4511, 0.7167], [0.7500, 0.2413, 0.9586], [0.2500, 0.2503, 0.2006], [0.7500, 0.1696, 0.8151], [0.2500, 0.5071, 0.4278], [0.2500, 0.3583, 0.0263], [0.7500, 0.0071, 0.0722], [0.7500, 0.4929, 0.5722], [0.7500, 0.8583, 0.4737], [0.2500, 0.2497, 0.7006], [0.7500, 0.7497, 0.7994], [0.2500, 0.9929, 0.9278], [0.2500, 0.1417, 0.5263], [0.7500, 0.6417, 0.9737], [0.7500, 0.3304, 0.3151], [0.2500, 0.6696, 0.6849], [0.2500, 0.8304, 0.1849], [0.7500, 0.7503, 0.2994], [0.7500, 0.5237, 0.1407], [0.2500, 0.4763, 0.8593], [0.7500, 0.9763, 0.6407], [0.2500, 0.0237, 0.3593]]}